The following is a DFT calculation (PBE) of a relaxed structure of Pr3Dy2Sc.

ρ, Mg/m³: 6.8
Formation energy from the elements, eV/f.u.: 0.3
Uncorrected energy, eV per cell: -59.23

Unit cell a=6.2077 b=9.4533 c=10.7441 alpha=129.14 beta=125.01 gamma=77.50
Positions (direct):
Pr (0.0374, 0.3619, 0.0775)
Pr (0.9626, 0.6381, 0.9225)
Pr (0.7088, 0.3729, 0.4156)
Pr (0.2912, 0.6271, 0.5844)
Pr (0.6272, 0.6287, 0.2547)
Pr (0.3728, 0.3713, 0.7453)
Dy (0.5397, 0.8845, 0.0882)
Dy (0.4603, 0.1155, 0.9118)
Dy (0.2125, 0.8811, 0.4195)
Dy (0.7875, 0.1189, 0.5805)
Sc (0.1211, 0.1189, 0.2434)
Sc (0.8789, 0.8811, 0.7566)